{
  "formula": "Fe9Cu3O16",
  "functional": "GGA+U",
  "state": "relaxed",
  "dos_at_fermi_per_ev_cell": 7.5,
  "magnetic_moment_mub_per_cell": 31.07,
  "crystal_system": "triclinic",
  "space_group": "P-1, No. 2",
  "de_polymorph_mev_per_atom": 0,
  "lattice": [[5.992, -0.067, 0.008], [-0.130, 5.960, 0.006], [-0.107, -0.052, 8.290]],
  "species": ["Fe", "Fe", "Fe", "Fe", "Fe", "Fe", "Fe", "Fe", "Fe", "Cu", "Cu", "Cu", "O", "O", "O", "O", "O", "O", "O", "O", "O", "O", "O", "O", "O", "O", "O", "O"],
  "frac_coords": [[0.981, 0.760, 0.878], [0.511, 0.745, 0.626], [0.489, 0.255, 0.374], [0.248, 0.755, 0.250], [0.019, 0.240, 0.122], [0.000, 0.000, 0.500], [0.752, 0.245, 0.750], [0.500, 0.000, 0.000], [0.000, 0.500, 0.500], [0.748, 0.749, 0.249], [0.500, 0.500, 0.000], [0.252, 0.251, 0.751], [0.233, 0.760, 0.493], [0.015, 0.982, 0.265], [0.778, 0.753, 0.494], [0.754, 0.225, 0.988], [0.519, 0.473, 0.746], [0.522, 0.002, 0.762], [0.478, 0.998, 0.238], [0.284, 0.240, 0.991], [0.222, 0.247, 0.506], [0.021, 0.507, 0.255], [0.985, 0.018, 0.735], [0.979, 0.493, 0.745], [0.767, 0.240, 0.507], [0.716, 0.760, 0.009], [0.481, 0.527, 0.254], [0.246, 0.775, 0.012]]
}